Version A
The following is a DFT calculation (PBE) of a relaxed NaSr6Cd crystal.

Output
The density of states at the Fermi level is 20.0 states/eV per cell.

a b c (Å): 5.994 5.994 20.742
angles (deg): 90.00 90.00 90.00
Space group I4/mmm (No. 139)
One atom of each set of equivalent atoms:
1 Na 0.000 0.000 0.000 x2
2 Sr 0.000 0.000 0.249 x4
3 Sr 0.000 0.500 0.102 x8
4 Cd 0.000 0.000 0.500 x2

=====

Version B
The following is a DFT calculation (PBE) of a relaxed NaSr6Cd crystal.

Output
The density of states at the Fermi level is 8.4 states/eV per cell.

a b c (Å): 8.245 8.251 8.621
angles (deg): 90.18 118.42 119.89
Space group P-1 (No. 2)
One atom of each set of equivalent atoms:
1 Na 0.000 0.000 0.000 x1
2 Sr 0.190 0.461 0.256 x2
3 Sr 0.203 0.271 0.743 x2
4 Sr 0.473 0.932 0.743 x2
5 Cd 0.000 0.500 0.500 x1

=====

Energy relative to the most stable one, in eV/atom: version A 0.000; version B 0.136